(1)
DFT (PBE-GGA) results for TbHoIn after structural relaxation.

abc: 5.9439 5.9439 5.9439
angles: 145.34 135.17 57.88
Closest atoms and distances in Å follow each position.
Fractional positions:
Tb (0.0000, 0.0000, 0.0000)  5 Ho 3.24-3.48, 5 In 3.31-3.56, 2 Tb 3.54
Ho (0.3115, 0.3115, 0.0000)  5 Tb 3.24-3.48, 5 In 3.29-3.60, 2 Ho 3.54
In (0.6579, 0.6579, 0.0000)  5 Ho 3.29-3.60, 5 Tb 3.31-3.56, 2 In 3.54

Computed properties:
E above lowest polymorph: 4.97 kJ/mol of atoms
Symmetry: Imm2 (44)
ΔE_f: -25.22 kJ/mol of atoms

(2)
DFT (PBE-GGA) results for RbTi3V after structural relaxation.

abc: 4.8895 4.8895 4.8895
angles: 90.00 90.00 90.00
Closest atoms and distances in Å follow each position.
Fractional positions:
Rb (0.0000, 0.0000, 0.0000)  12 Ti 3.46
Ti (0.0000, 0.5000, 0.5000)  2 V 2.44
Ti (0.5000, 0.0000, 0.5000)  2 V 2.44
Ti (0.5000, 0.5000, 0.0000)  2 V 2.44
V (0.5000, 0.5000, 0.5000)  6 Ti 2.44

Computed properties:
E above lowest polymorph: 0.00 kJ/mol of atoms
Symmetry: Pm-3m (221)
ΔE_f: 105.24 kJ/mol of atoms

(3)
DFT (PBE-GGA) results for BaCd after structural relaxation.

abc: 6.8768 6.8768 6.8768
angles: 90.00 90.00 90.00
Closest atoms and distances in Å follow each position.
Fractional positions:
Ba (0.0788, 0.4212, 0.5788)  7 Cd 3.55-3.91
Ba (0.4212, 0.5788, 0.0788)  7 Cd 3.55-3.91
Ba (0.5788, 0.0788, 0.4212)  7 Cd 3.55-3.91
Ba (0.9212, 0.9212, 0.9212)  7 Cd 3.55-3.91
Cd (0.0928, 0.9072, 0.4072)  7 Ba 3.55-3.91
Cd (0.4072, 0.0928, 0.9072)  7 Ba 3.55-3.91
Cd (0.5928, 0.5928, 0.5928)  7 Ba 3.55-3.91
Cd (0.9072, 0.4072, 0.0928)  7 Ba 3.55-3.91

Computed properties:
Symmetry: P2_13 (198)
ΔE_f: -19.57 kJ/mol of atoms

(4)
DFT (PBE-GGA) results for VRh3Se after structural relaxation.

abc: 4.5366 4.5366 4.5366
angles: 90.00 90.00 90.00
Closest atoms and distances in Å follow each position.
Fractional positions:
V (0.0000, 0.0000, 0.0000)  12 Rh 3.21
Rh (0.0000, 0.5000, 0.5000)  2 Se 2.27
Rh (0.5000, 0.0000, 0.5000)  2 Se 2.27
Rh (0.5000, 0.5000, 0.0000)  2 Se 2.27
Se (0.5000, 0.5000, 0.5000)  6 Rh 2.27

Computed properties:
E above lowest polymorph: 0.00 kJ/mol of atoms
Symmetry: Pm-3m (221)
Energy relative to the elements, uncorrected: 0.64 eV/atom

(5)
DFT (PBE-GGA) results for CaScSb2I after structural relaxation.

abc: 5.4588 5.4588 5.9058
angles: 90.00 90.00 90.00
Closest atoms and distances in Å follow each position.
Fractional positions:
Ca (0.0000, 0.0000, 0.0000)  4 I 3.86, 8 Sb 4.02
Sc (0.5000, 0.5000, 0.5000)  4 Sb 2.73, 2 I 2.95
Sb (0.0000, 0.5000, 0.5000)  2 Sc 2.73
Sb (0.5000, 0.0000, 0.5000)  2 Sc 2.73
I (0.5000, 0.5000, 0.0000)  2 Sc 2.95

Computed properties:
E above lowest polymorph: 0.00 kJ/mol of atoms
Symmetry: P4/mmm (123)
Energy relative to the elements, uncorrected: -0.46 eV/atom

(6)
DFT (PBE-GGA) results for LiNd2Zn2Pt5 after structural relaxation.

abc: 9.7382 9.7382 3.8305
angles: 90.00 90.00 90.00
Closest atoms and distances in Å follow each position.
Fractional positions:
Li (0.0000, 0.0000, 0.0000)  8 Pt 2.82
Li (0.5000, 0.5000, 0.0000)  8 Pt 2.82
Nd (0.1777, 0.3223, 0.0000)  3 Zn 2.77-2.96
Nd (0.3223, 0.8223, 0.0000)  3 Zn 2.77-2.96
Nd (0.6777, 0.1777, 0.0000)  3 Zn 2.77-2.96
Nd (0.8223, 0.6777, 0.0000)  3 Zn 2.77-2.96
Zn (0.1209, 0.6209, 0.0000)  6 Pt 2.54-2.64, 1 Nd 2.77
Zn (0.3791, 0.1209, 0.0000)  6 Pt 2.54-2.64, 1 Nd 2.77
Zn (0.6209, 0.8791, 0.0000)  6 Pt 2.54-2.64, 1 Nd 2.77
Zn (0.8791, 0.3791, 0.0000)  6 Pt 2.54-2.64, 1 Nd 2.77
Pt (0.0000, 0.5000, 0.5000)  4 Zn 2.54
Pt (0.0634, 0.7977, 0.5000)  2 Zn 2.64, 2 Li 2.82, 2 Pt 2.92
Pt (0.2023, 0.0634, 0.5000)  2 Zn 2.64, 2 Li 2.82, 2 Pt 2.92
Pt (0.2977, 0.5634, 0.5000)  2 Zn 2.64, 2 Li 2.82, 2 Pt 2.92
Pt (0.4366, 0.2977, 0.5000)  2 Zn 2.64, 2 Li 2.82, 2 Pt 2.92
Pt (0.5000, 0.0000, 0.5000)  4 Zn 2.54
Pt (0.5634, 0.7023, 0.5000)  2 Zn 2.64, 2 Li 2.82, 2 Pt 2.92
Pt (0.7023, 0.4366, 0.5000)  2 Zn 2.64, 2 Li 2.82, 2 Pt 2.92
Pt (0.7977, 0.9366, 0.5000)  2 Zn 2.64, 2 Li 2.82, 2 Pt 2.92
Pt (0.9366, 0.2023, 0.5000)  2 Zn 2.64, 2 Li 2.82, 2 Pt 2.92

Computed properties:
Symmetry: P4/mbm (127)
ΔE_f: -70.61 kJ/mol of atoms

(7)
DFT (PBE-GGA) results for Na2PrBiS4 after structural relaxation.

abc: 7.1350 4.1221 7.1546
angles: 90.00 109.41 90.00
Closest atoms and distances in Å follow each position.
Fractional positions:
Na (0.0000, 0.0000, 0.0000)  6 S 2.98-2.99
Na (0.5000, 0.5000, 0.0000)  6 S 2.96-2.97
Pr (0.0000, 0.5000, 0.5000)  6 S 2.87-2.88
Bi (0.5000, 0.0000, 0.5000)  6 S 2.85-2.86
S (0.2473, 0.0000, 0.7352)  1 Bi 2.85, 2 Pr 2.87, 3 Na 2.97-2.99
S (0.2565, 0.5000, 0.2635)  2 Bi 2.86, 1 Pr 2.88, 3 Na 2.96-2.98
S (0.7435, 0.5000, 0.7365)  2 Bi 2.86, 1 Pr 2.88, 3 Na 2.96-2.98
S (0.7527, 0.0000, 0.2648)  1 Bi 2.85, 2 Pr 2.87, 3 Na 2.97-2.99

Computed properties:
Symmetry: P2/m (10)
Energy relative to the elements, uncorrected: -1.27 eV/atom

(8)
DFT (PBE-GGA) results for KHClF after structural relaxation.

abc: 4.4250 4.4250 5.6263
angles: 104.01 104.01 58.73
Closest atoms and distances in Å follow each position.
Fractional positions:
K (0.0000, 0.0000, 0.0000)  3 F 2.79-2.88, 1 H 3.00
H (0.6463, 0.6463, 0.6063)  1 F 1.03
Cl (0.7372, 0.7372, 0.3557)  1 H 1.74
F (0.6165, 0.6165, 0.7738)  1 H 1.03

Computed properties:
Calculated total energy: -3.81 eV/atom
Symmetry: Cm (8)

(9)
DFT (PBE-GGA) results for Rb2CdI6O after structural relaxation.

abc: 8.3792 8.3792 8.3792
angles: 123.34 123.34 84.30
Closest atoms and distances in Å follow each position.
Fractional positions:
Rb (0.2500, 0.7500, 0.5000)  12 I 3.99-4.20
Rb (0.7500, 0.2500, 0.5000)  12 I 3.99-4.20
Cd (0.0000, 0.0000, 0.0000)  2 I 2.77
I (0.2228, 0.2228, 0.0000)  1 Cd 2.77
I (0.2806, 0.2806, 0.5611)  1 O 2.47
I (0.2806, 0.7194, 0.0000)  1 O 2.47
I (0.7194, 0.2806, 0.0000)  1 O 2.47
I (0.7194, 0.7194, 0.4389)  1 O 2.47
I (0.7772, 0.7772, 0.0000)  1 Cd 2.77
O (0.5000, 0.5000, 0.0000)  4 I 2.47

Computed properties:
Symmetry: I4/mmm (139)
Energy relative to the elements, uncorrected: -0.55 eV/atom

(10)
DFT (PBE-GGA) results for Fe2CuP after structural relaxation.

abc: 4.4715 4.4715 4.4715
angles: 139.19 126.54 69.38
Closest atoms and distances in Å follow each position.
Fractional positions:
Fe (0.2183, 0.2183, 0.0000)  2 P 2.24
Fe (0.7817, 0.7817, 0.0000)  2 P 2.24
Cu (0.5000, 0.0000, 0.5000)  4 P 2.54, 8 Fe 2.57-2.59
P (0.0000, 0.5000, 0.5000)  4 Fe 2.24

Computed properties:
Symmetry: Immm (71)
ΔE_f: -2.48 kJ/mol of atoms